A plane-wave DFT calculation with GGA-PBE was carried out for a relaxed structure of GaHgAu2Se4.

## Properties
**Calculated total energy**: -50.7 eV/cell
**Raw formation energy**: -191 meV per atom
**M_tot**: 0.0 μB per formula unit

Cell and atoms, written as CIF:
```
data_GaHgAu2Se4
_chemical_formula_sum 'Ga2 Hg2 Au4 Se8'
_symmetry_space_group_name_H-M 'I -4 2 m'
_symmetry_Int_Tables_number 121
_symmetry_space_group_name_Hall 'I -4 2'
_cell_length_a 5.9862
_cell_length_b 5.9862
_cell_length_c 12.0291
_cell_angle_alpha 90.00
_cell_angle_beta 90.00
_cell_angle_gamma 90.00
loop_
_atom_site_label
_atom_site_type_symbol
_atom_site_fract_x
_atom_site_fract_y
_atom_site_fract_z
Ga1 Ga 0.0000 0.0000 0.0000
Hg1 Hg 0.0000 0.0000 0.5000
Au1 Au 0.0000 0.5000 0.2500
Se1 Se 0.2328 0.2328 0.1250
```